[1]
Density functional theory data (PBE) for a relaxed Tm4Zn5Ga2 crystal.

```
Tm4Zn5Ga2
1.0
3.6835 0.0000 0.0000
0.0000 7.0204 0.0921
0.0000 -0.5617 8.8518
Tm Zn Ga
4 5 2
direct
0.5000 0.7345 0.5718
0.5000 0.1848 0.8759
0.5000 0.2655 0.4282
0.5000 0.8152 0.1241
0.0000 0.5590 0.3028
0.0000 0.1846 0.1494
0.0000 0.5000 0.0000
0.0000 0.8154 0.8506
0.0000 0.4410 0.6972
0.0000 0.0613 0.6359
0.0000 0.9387 0.3641
```

Values from the calculation:
Final energy = -3.10 eV/atom
Energy of formation = -345 meV per atom

[2]
Density functional theory data (PBE) for a relaxed Sr2HfCdTe crystal.

```
Sr2HfCdTe
1.0
6.1469 0.0000 0.0000
0.0000 5.6235 0.0000
0.0000 0.0000 6.1469
Sr Te Hf Cd
2 1 1 1
direct
0.0000 0.0000 0.5000
0.5000 0.0000 0.0000
0.0000 0.0000 0.0000
0.5000 0.5000 0.5000
0.0000 0.5000 0.0000
```

Values from the calculation:
Final energy = -2.98 eV/atom

Question: Look up the final energy of the second one.
Answer: -2.98 eV/atom

Question: Which of these has the lowest final energy?
Answer: Tm4Zn5Ga2